1.
The following is a PBE calculation of SiTcRuC after structural relaxation, from Alexandria via LeMat-Bulk.

a = 7.012 Å, b = 2.817 Å, c = 4.883 Å
α = 90.00°, β = 103.45°, γ = 90.00°
Element x y z (fractional)
Ru1 0.700 0.000 0.726
C1 0.492 0.000 0.324
Tc1 0.289 0.000 0.590
Si1 0.993 0.000 0.158
Si2 0.993 0.500 0.658
Tc2 0.289 0.500 0.090
C2 0.492 0.500 0.824
Ru2 0.700 0.500 0.226

## Properties
The calculation puts the density of states at the Fermi level at 2.35 states/eV/f.u. As for the raw total energy: -68.66 eV/cell. Its excess energy over the best structure of this formula in the dataset is 13.2 meV per atom. Its space group is R3m. The energy relative to the elements, uncorrected comes out at -10 meV/atom.

***

2.
The following is a PBE calculation of Zn2Cu10Au after structural relaxation, from Alexandria via LeMat-Bulk.

a = 4.844 Å, b = 6.366 Å, c = 6.473 Å
α = 81.82°, β = 68.03°, γ = 67.64°
Element x y z (fractional)
Zn1 0.500 0.500 0.000
Cu1 0.647 0.350 0.356
Cu2 0.500 0.000 0.500
Cu3 0.501 0.213 0.785
Cu4 0.997 0.650 0.356
Cu5 0.000 0.000 0.500
Cu6 0.499 0.787 0.215
Zn2 0.000 0.500 0.000
Cu7 0.353 0.650 0.644
Cu8 0.714 0.787 0.785
Cu9 0.286 0.213 0.215
Au1 0.000 0.000 0.000
Cu10 0.003 0.350 0.644

## Properties
The calculation puts the density of states at the Fermi level at 3.38 states/eV/f.u. As for the raw total energy: -46.05 eV/cell. As for the energy of formation: 0.057 eV per atom. Its space group is Fmmm.

***

3.
The following is a PBE calculation of CaAg2H2 after structural relaxation, from Alexandria via LeMat-Bulk.

a = 6.221 Å, b = 6.221 Å, c = 4.017 Å
α = 90.00°, β = 90.00°, γ = 90.00°
Element x y z (fractional)
H1 0.334 0.834 0.000
Ca1 0.000 0.000 0.000
Ag1 0.662 0.162 0.500
H2 0.166 0.334 0.000
Ag2 0.838 0.662 0.500
H3 0.666 0.166 0.000
Ca2 0.500 0.500 0.000
H4 0.834 0.666 0.000
Ag3 0.162 0.338 0.500
Ag4 0.338 0.838 0.500

## Properties
The calculation puts the density of states at the Fermi level at 1.90 states/eV/f.u. As for the raw total energy: -29.22 eV/cell. Its excess energy over the best structure of this formula in the dataset is 0.0 meV per atom. Its space group is P4/mbm.

***

4.
The following is a PBE calculation of LiZn2Ga2 after structural relaxation, from Alexandria via LeMat-Bulk.

a = 2.944 Å, b = 4.629 Å, c = 6.490 Å
α = 94.09°, β = 76.89°, γ = 71.46°
Element x y z (fractional)
Ga1 0.399 0.408 0.793
Li1 0.000 0.000 0.000
Zn1 0.216 0.183 0.385
Zn2 0.784 0.817 0.615
Ga2 0.601 0.592 0.207

## Properties
The calculation puts the density of states at the Fermi level at 1.39 states/eV/f.u. As for the raw total energy: -11.04 eV/cell. As for the energy of formation: -0.105 eV per atom. Its excess energy over the best structure of this formula in the dataset is 0.0 meV per atom. Its space group is C2/m.

***

5.
The following is a PBE calculation of TbPm2Sm2 after structural relaxation, from Alexandria via LeMat-Bulk.

a = 6.348 Å, b = 8.633 Å, c = 9.701 Å
α = 43.67°, β = 70.90°, γ = 68.43°
Element x y z (fractional)
Pm1 0.217 0.248 0.151
Pm2 0.616 0.252 0.349
Sm1 0.984 0.748 0.451
Sm2 0.818 0.248 0.951
Sm3 0.182 0.752 0.049
Tb1 0.417 0.250 0.750
Tb2 0.583 0.750 0.250
Sm4 0.016 0.252 0.549
Pm3 0.384 0.748 0.651
Pm4 0.783 0.752 0.849

## Properties
The calculation puts the density of states at the Fermi level at 8.70 states/eV/f.u. As for the raw total energy: -46.87 eV/cell. As for the energy of formation: 0.027 eV per atom. Its excess energy over the best structure of this formula in the dataset is 0.0 meV per atom. Its space group is C2/c.

***

6.
The following is a PBE calculation of HfInIr2O after structural relaxation, from Alexandria via LeMat-Bulk.

a = 4.503 Å, b = 4.027 Å, c = 4.503 Å
α = 90.00°, β = 90.00°, γ = 90.00°
Element x y z (fractional)
O1 0.000 0.000 0.000
In1 0.500 0.500 0.500
Ir1 0.000 0.000 0.500
Hf1 0.000 0.500 0.000
Ir2 0.500 0.000 0.000

## Properties
The calculation puts the density of states at the Fermi level at 5.48 states/eV/f.u. As for the raw total energy: -36.70 eV/cell. Its space group is P4/mmm. The energy relative to the elements, uncorrected comes out at -265 meV/atom.

***

7.
The following is a PBE calculation of LiFe after structural relaxation, from Alexandria via LeMat-Bulk.

a = 2.474 Å, b = 2.474 Å, c = 9.012 Å
α = 90.00°, β = 90.00°, γ = 120.00°
Element x y z (fractional)
Li1 0.000 0.000 0.500
Fe1 0.333 0.667 0.250
Fe2 0.667 0.333 0.750
Li2 0.000 0.000 0.000

## Properties
The calculation puts the density of states at the Fermi level at 1.60 states/eV/f.u. As for the raw total energy: -19.79 eV/cell. As for the energy of formation: 0.241 eV per atom. Its space group is P6_3/mmc.

***

8.
The following is a PBE calculation of TaAuIN2 after structural relaxation, from Alexandria via LeMat-Bulk.

a = 4.035 Å, b = 4.035 Å, c = 6.056 Å
α = 90.00°, β = 90.00°, γ = 90.00°
Element x y z (fractional)
N1 0.500 0.000 0.000
I1 0.000 0.000 0.500
Ta1 0.000 0.000 0.000
N2 0.000 0.500 0.000
Au1 0.500 0.500 0.500

## Properties
The calculation puts the density of states at the Fermi level at 1.46 states/eV/f.u. As for the raw total energy: -31.17 eV/cell. Its excess energy over the best structure of this formula in the dataset is 0.0 meV per atom. Its space group is P4/mmm. The energy relative to the elements, uncorrected comes out at 432 meV/atom.

***

9.
The following is a PBE calculation of NdPuMnN4 after structural relaxation, from Alexandria via LeMat-Bulk.

a = 5.270 Å, b = 5.272 Å, c = 6.785 Å
α = 90.00°, β = 112.85°, γ = 90.00°
Element x y z (fractional)
N1 0.000 0.500 0.500
Pu1 0.109 0.250 0.218
N2 0.415 0.750 0.829
N3 0.585 0.250 0.171
Nd1 0.392 0.250 0.784
Pu2 0.891 0.750 0.782
Mn1 0.731 0.250 0.461
N4 0.059 0.750 0.118
N5 0.941 0.250 0.882
Mn2 0.269 0.750 0.539
Nd2 0.608 0.750 0.216
N6 0.000 0.000 0.500
N7 0.500 0.000 0.500
N8 0.500 0.500 0.500

## Properties
The calculation puts the density of states at the Fermi level at 6.94 states/eV/f.u. As for the raw total energy: -134.35 eV/cell. Its space group is Cmcm. The energy relative to the elements, uncorrected comes out at -801 meV/atom.

***

10.
The following is a PBE calculation of Hf2Tl2Ir after structural relaxation, from Alexandria via LeMat-Bulk.

a = 3.837 Å, b = 3.837 Å, c = 8.389 Å
α = 76.78°, β = 76.78°, γ = 90.00°
Element x y z (fractional)
Tl1 0.750 0.250 0.500
Ir1 0.000 0.000 0.000
Hf1 0.413 0.413 0.174
Tl2 0.250 0.750 0.500
Hf2 0.587 0.587 0.826

## Properties
The calculation puts the density of states at the Fermi level at 5.32 states/eV/f.u. As for the raw total energy: -30.78 eV/cell. As for the energy of formation: 0.544 eV per atom. Its excess energy over the best structure of this formula in the dataset is 443.4 meV per atom. Its space group is I4/mmm.

***

11.
The following is a PBE calculation of AcPuHg2 after structural relaxation, from Alexandria via LeMat-Bulk.

a = 5.543 Å, b = 5.543 Å, c = 5.543 Å
α = 60.00°, β = 60.00°, γ = 60.00°
Element x y z (fractional)
Hg1 0.750 0.750 0.750
Pu1 0.000 0.000 0.000
Hg2 0.250 0.250 0.250
Ac1 0.500 0.500 0.500

## Properties
The calculation puts the density of states at the Fermi level at 13.11 states/eV/f.u. As for the raw total energy: -20.10 eV/cell. As for the energy of formation: -0.264 eV per atom. Its excess energy over the best structure of this formula in the dataset is 7.1 meV per atom. Its space group is Fm-3m.

***

12.
The following is a PBE calculation of Pm5DyYTm2 after structural relaxation, from Alexandria via LeMat-Bulk.

a = 5.632 Å, b = 10.477 Å, c = 10.701 Å
α = 90.00°, β = 90.00°, γ = 105.59°
Element x y z (fractional)
Pm1 0.017 0.034 0.019
Pm2 0.701 0.403 0.208
Pm3 0.983 0.966 0.519
Y1 0.801 0.601 0.511
Tm1 0.885 0.771 0.813
Pm4 0.299 0.597 0.708
Tm2 0.889 0.777 0.239
Dy1 0.589 0.179 0.959
Tm3 0.111 0.223 0.739
Y2 0.199 0.399 0.011
Pm5 0.281 0.563 0.311
Pm6 0.387 0.775 0.022
Pm7 0.613 0.225 0.522
Pm8 0.719 0.437 0.811
Dy2 0.411 0.821 0.459
Tm4 0.115 0.229 0.313
Pm9 0.519 0.037 0.242
Pm10 0.481 0.963 0.742

## Properties
The calculation puts the density of states at the Fermi level at 14.45 states/eV/f.u. As for the raw total energy: -84.86 eV/cell. As for the energy of formation: 0.148 eV per atom. Its space group is Cmc2_1.